# 1
DFT (PBE) results for a geometry-optimized Cs3NpCl8 structure.

The structure in POSCAR format:
```
Cs3NpCl8
1.0
10.462 0.000 0.000
-5.231 9.060 0.000
0.000 0.000 9.201
Cs Np Cl
6 2 16
Cartesian
0.000 2.779 0.000 Cs
-2.824 7.671 0.000 Cs
2.407 1.389 4.601 Cs
2.824 7.671 0.000 Cs
8.055 1.389 4.601 Cs
5.231 6.282 4.601 Cs
0.000 6.040 3.956 Np
5.231 3.020 8.556 Np
0.000 0.000 2.331 Cl
0.000 0.000 6.932 Cl
-2.137 4.806 3.133 Cl
0.000 4.003 5.563 Cl
-1.764 7.059 5.563 Cl
0.000 6.040 1.150 Cl
3.467 2.002 0.962 Cl
2.137 4.806 3.133 Cl
0.000 8.508 3.133 Cl
5.231 0.552 7.734 Cl
3.094 4.254 7.734 Cl
1.764 7.059 5.563 Cl
5.231 3.020 5.750 Cl
6.995 2.002 0.962 Cl
5.231 5.057 0.962 Cl
7.368 4.254 7.734 Cl
```

Calculated values
**Offset from the most stable computed form**: 0.000 eV per atom
**Size of the total moment**: 0.17 μB per atom
**Raw formation energy**: -1.729 eV per atom


# 2
DFT (PBE) results for a geometry-optimized Cs3NpCl8 structure.

The structure in POSCAR format:
```
Cs3NpCl8
1.0
-3.850 3.850 7.517
3.850 -3.850 7.517
3.850 3.850 -7.517
Cs Np Cl
3 1 8
Cartesian
0.000 0.000 0.000 Cs
3.850 0.000 3.759 Cs
0.000 3.850 3.759 Cs
0.000 0.000 7.517 Np
2.277 2.277 -1.571 Cl
1.573 -1.573 5.946 Cl
2.277 2.277 1.571 Cl
1.573 -1.573 9.088 Cl
-1.573 1.573 5.946 Cl
1.573 1.573 5.946 Cl
-1.573 1.573 9.088 Cl
1.573 1.573 9.088 Cl
```

Calculated values
**Offset from the most stable computed form**: 0.056 eV per atom
**Size of the total moment**: 0.16 μB per atom
**Raw formation energy**: -1.673 eV per atom


# 3
DFT (PBE) results for a geometry-optimized Cs3NpCl6 structure.

The structure in POSCAR format:
```
Cs3NpCl6
1.0
7.043 -4.126 0.000
7.043 4.126 0.000
-4.655 0.000 7.156
Cs Np Cl
3 1 6
Cartesian
0.000 0.000 0.000 Cs
0.052 0.000 5.173 Cs
9.379 0.000 1.983 Cs
4.715 0.000 3.578 Np
3.060 1.911 4.651 Cl
3.267 0.000 1.238 Cl
6.371 1.911 2.505 Cl
3.060 -1.911 4.651 Cl
6.164 0.000 5.918 Cl
6.371 -1.911 2.505 Cl
```

Calculated values
**Size of the total moment**: 0.40 μB per atom
**Raw formation energy**: -1.923 eV per atom


# 4
DFT (PBE) results for a geometry-optimized Cs2NpCl7 structure.

The structure in POSCAR format:
```
Cs2NpCl7
1.0
9.220 -4.263 0.000
9.220 4.263 0.000
-8.410 0.000 9.399
Cs Np Cl
4 2 14
Cartesian
0.089 2.945 7.223 Cs
5.736 2.945 6.875 Cs
4.294 -2.945 2.523 Cs
9.941 -2.945 2.176 Cs
7.117 1.727 2.350 Np
2.912 -1.727 7.049 Np
-6.234 0.288 8.610 Cl
-2.030 -0.288 3.911 Cl
4.685 1.720 3.021 Cl
-2.055 1.002 9.346 Cl
2.912 0.904 7.049 Cl
9.550 1.720 1.678 Cl
2.150 -1.002 4.646 Cl
7.880 1.002 4.752 Cl
0.480 -1.720 7.721 Cl
7.117 -0.904 2.350 Cl
12.085 -1.002 0.053 Cl
5.345 -1.720 6.377 Cl
12.059 0.288 5.488 Cl
16.264 -0.288 0.789 Cl
```

Calculated values
**Offset from the most stable computed form**: 0.000 eV per atom
**Size of the total moment**: 0.20 μB per atom
**Raw formation energy**: -1.670 eV per atom


So what do the calculations give for DFT total energy? Going down the list: -4.252 -4.196 -4.582 -4.428 eV per atom.